Entry 1:
DFT (PBE) results for crystalline Er2Sc at its relaxed geometry.

Symmetry   Fd-3m (227)
Energy above the lowest structure with this stoichiometry   28.2 kJ per mole of atoms

a = 6.325 Å, b = 6.325 Å, c = 6.325 Å
α = 60.00°, β = 60.00°, γ = 60.00°
Atoms (fractional coordinates):
Sc: 0.000 0.000 0.000
Sc: 0.250 0.250 0.250
Er: 0.625 0.125 0.625
Er: 0.625 0.625 0.125
Er: 0.625 0.625 0.625
Er: 0.125 0.625 0.625

Entry 2:
DFT (PBE) results for crystalline Er5Sc3 at its relaxed geometry.

Symmetry   Pmm2 (25)

a = 3.494 Å, b = 5.413 Å, c = 12.040 Å
α = 90.00°, β = 90.00°, γ = 90.00°
Atoms (fractional coordinates):
Sc: 0.500 0.500 0.550
Sc: 0.000 0.500 0.783
Sc: 0.500 0.000 0.708
Er: 0.500 0.000 0.208
Er: 0.000 0.000 0.469
Er: 0.500 0.500 0.035
Er: 0.000 0.500 0.298
Er: 0.000 0.000 0.948

Total DFT energy (no corrections) (eV/atom)
-4.816 -5.207
Calculated density (g cm⁻³)
7.044 7.082